TiCrWI2 | PBE-GGA | relaxed

abc: 5.2491 5.2491 4.7094
angles: 90.00 90.00 90.00
With the nearest neighbours (Å) after each atom.
Positions (direct):
Ti 0.0000 0.0000 0.0000  8 I 3.53, 4 W 3.71
Cr 0.5000 0.5000 0.5000  2 W 2.35, 4 I 2.62
W 0.5000 0.5000 0.0000  2 Cr 2.35
I 0.0000 0.5000 0.5000  2 Cr 2.62
I 0.5000 0.0000 0.5000  2 Cr 2.62

volume = 129.8 Å³/cell
formation energy without anion corrections = 1428.3 meV/atom
spin magnetization = 0.48 μB per atom
raw total energy = -5.286 eV/atom



Cs2MnReAg | PBE-GGA | relaxed

abc: 6.9784 6.9784 4.3536
angles: 90.00 90.00 90.00
With the nearest neighbours (Å) after each atom.
Positions (direct):
Cs 0.0000 0.5000 0.0000  2 Re 3.49
Cs 0.5000 0.0000 0.0000  2 Re 3.49
Mn 0.0000 0.0000 0.5000  2 Re 2.18
Re 0.0000 0.0000 0.0000  2 Mn 2.18
Ag 0.5000 0.5000 0.5000  8 Cs 4.11, 2 Ag 4.35

volume = 212.0 Å³/cell
spin magnetization = 0.21 μB per atom
raw total energy = -3.761 eV/atom



no.,DOS(E_F) (states/eV/atom)
1,1.12
2,1.48